1.
NdPuCdBi: relaxed, PBE-GGA.

Output
VASP energy in eV for the cell shown: -25.117
Energy relative to the elements in eV/atom: -0.31
Theoretical density in kg/m3: 10053

abc: 5.4933 5.4933 5.4933
angles: 60.00 60.00 60.00
Site moments in Bohr magnetons follow the coordinates.
Element x y z (fractional)
Bi: 0.2500 0.2500 0.2500  -0.05
Pu: 0.5000 0.5000 0.5000  5.66
Cd: 0.7500 0.7500 0.7500  0.04
Nd: 0.0000 0.0000 0.0000  0.33

---

2.
NdScCdBi: relaxed, PBE-GGA.

Output
VASP energy in eV for the cell shown: -17.375
Energy relative to the elements in eV/atom: -0.37
Theoretical density in kg/m3: 7838

abc: 5.3483 5.3483 5.3483
angles: 60.00 60.00 60.00
Element x y z (fractional)
Nd: 0.2500 0.2500 0.2500
Cd: 0.0000 0.0000 0.0000
Bi: 0.5000 0.5000 0.5000
Sc: 0.7500 0.7500 0.7500

---

Please write out number 1 again, unchanged.
NdPuCdBi: relaxed, PBE-GGA.

Output
VASP energy in eV for the cell shown: -25.117
Energy relative to the elements in eV/atom: -0.31
Theoretical density in kg/m3: 10053

abc: 5.4933 5.4933 5.4933
angles: 60.00 60.00 60.00
Site moments in Bohr magnetons follow the coordinates.
Element x y z (fractional)
Bi: 0.2500 0.2500 0.2500  -0.05
Pu: 0.5000 0.5000 0.5000  5.66
Cd: 0.7500 0.7500 0.7500  0.04
Nd: 0.0000 0.0000 0.0000  0.33

---

Q: Look up the VASP energy of the first one.
A: -25.117 eV for the cell shown

---

Q: Which value of theoretical density does entry 1 give?
A: 10053 kg/m3